Computed, not measured: a relaxed Tb12Ho2In crystal at the PBE-GGA level of DFT.

The structure belongs to space group C2/m (No. 12); the cell edges are 7.103, 11.267 and 23.985 Å and the angles 90.00°, 98.30° and 90.00°. The inequivalent atoms are Tb at (0.004, 0.000, 0.400), Tb at (0.016, 0.500, 0.650), Tb at (0.038, 0.259, 0.825), Tb at (0.074, 0.215, 0.307), Tb at (0.076, 0.500, 0.920), Tb at (0.103, 0.000, 0.928), Tb at (0.153, 0.239, 0.057), Tb at (0.154, 0.271, 0.564), Ho at (0.224, 0.000, 0.213), Ho at (0.248, 0.500, 0.234) and In at (0.191, 0.500, 0.482).

For the total energy, the calculation gives -66.74 eV per formula unit. The calculation puts the formation energy at 0.048 eV per atom. The density of states at the Fermi level comes out at 74.58 states/eV/cell.